Record 1
The following is a DFT calculation (PBE) of a relaxed structure of NaTiGe2.

a b c (Å): 3.0401 3.0401 9.5115
angles (deg): 80.80 80.80 60.00
Last column: nearest neighbours and their distance in Å.
Positions (direct):
Na 0.5000 0.5000 0.5000  6 Na 3.04, 6 Ge 3.07
Ti 0.0000 0.0000 0.0000  6 Ge 2.78, 6 Ti 3.04
Ge 0.7435 0.7435 0.7696  3 Ti 2.78, 6 Ge 3.04, 3 Na 3.07
Ge 0.2565 0.2565 0.2304  3 Ti 2.78, 6 Ge 3.04, 3 Na 3.07

Properties
- energy above the most stable polymorph in this dataset (meV/atom) = 0
- total moment (μB/cell) = 0.00

***

Record 2
The following is a DFT calculation (PBE) of a relaxed structure of NaTi3Ge.

a b c (Å): 4.8634 4.8634 4.8634
angles (deg): 90.00 90.00 90.00
Last column: nearest neighbours and their distance in Å.
Positions (direct):
Ti 0.5000 0.0000 0.0000  2 Ge 2.43
Ti 0.0000 0.5000 0.0000  2 Ge 2.43
Ti 0.0000 0.0000 0.5000  2 Ge 2.43
Ge 0.0000 0.0000 0.0000  6 Ti 2.43
Na 0.5000 0.5000 0.5000  12 Ti 3.44

Properties
- energy above the most stable polymorph in this dataset (meV/atom) = 0
- total moment (μB/cell) = 0.00

***

Record 3
The following is a DFT calculation (PBE) of a relaxed structure of NaTiGe.

a b c (Å): 4.3432 4.3432 8.8230
angles (deg): 75.75 75.75 60.00
Last column: nearest neighbours and their distance in Å.
Positions (direct):
Ge 0.5987 0.5987 0.2039  4 Ti 2.63-2.65, 3 Na 2.93
Ge 0.4013 0.4013 0.7961  4 Ti 2.63-2.65, 3 Na 2.93
Ti 0.2970 0.2970 0.1089  4 Ge 2.63-2.65
Ti 0.7030 0.7030 0.8911  4 Ge 2.63-2.65
Na 0.8726 0.8726 0.3821  3 Ge 2.93, 3 Na 3.20
Na 0.1274 0.1274 0.6179  3 Ge 2.93, 3 Na 3.20

Properties
- total moment (μB/cell) = 1.84
- raw total energy (eV/atom) = -4.65

***

Record 4
The following is a DFT calculation (PBE) of a relaxed structure of Na2TiGe.

a b c (Å): 8.5576 8.5576 6.6148
angles (deg): 49.69 49.69 90.00
Last column: nearest neighbours and their distance in Å.
Positions (direct):
Na 0.3750 0.3366 0.7500  2 Na 2.75, 2 Ge 2.88
Na 0.6634 0.1250 0.2500  2 Na 2.75, 2 Ge 2.88
Na 0.0866 0.6250 0.2500  2 Na 2.75, 2 Ge 2.88
Na 0.8750 0.9134 0.7500  2 Na 2.75, 2 Ge 2.88
Ge 0.7500 0.2500 0.5000  2 Ti 2.67, 4 Na 2.88
Ge 0.0000 0.0000 0.0000  2 Ti 2.67, 4 Na 2.88
Ti 0.5000 0.5000 0.0000  2 Ge 2.67
Ti 0.2500 0.7500 0.5000  2 Ge 2.67

Properties
- total moment (μB/cell) = 4.00
- raw total energy (eV/atom) = -3.32

***

Record 5
The following is a DFT calculation (PBE) of a relaxed structure of NaTi2Ge4.

a b c (Å): 4.8047 4.8047 7.4273
angles (deg): 71.13 71.13 90.00
Last column: nearest neighbours and their distance in Å.
Positions (direct):
Ge 0.2041 0.2041 0.5917  1 Ti 2.62, 1 Na 2.70
Ge 0.5000 0.0000 0.0000  2 Na 2.40
Ge 0.0000 0.5000 0.0000  2 Na 2.40
Ge 0.7959 0.7959 0.4083  1 Ti 2.62, 1 Na 2.70
Ti 0.4026 0.4026 0.1948  1 Ti 2.57, 5 Ge 2.62-2.73
Ti 0.5974 0.5974 0.8052  1 Ti 2.57, 5 Ge 2.62-2.73
Na 0.0000 0.0000 0.0000  4 Ge 2.40

Properties
- total moment (μB/cell) = 0.00
- raw total energy (eV/atom) = -4.55

***

Record 6
The following is a DFT calculation (PBE) of a relaxed structure of NaTiGe2.

a b c (Å): 4.6964 4.6964 4.6964
angles (deg): 60.00 60.00 60.00
Last column: nearest neighbours and their distance in Å.
Positions (direct):
Ti 0.5000 0.5000 0.5000  8 Ge 2.88
Ge 0.7500 0.7500 0.7500  4 Na 2.88, 4 Ti 2.88
Ge 0.2500 0.2500 0.2500  4 Na 2.88, 4 Ti 2.88
Na 0.0000 0.0000 0.0000  8 Ge 2.88

Properties
- energy above the most stable polymorph in this dataset (meV/atom) = 206
- total moment (μB/cell) = 1.02

***

Record 7
The following is a DFT calculation (PBE) of a relaxed structure of NaTi3Ge.

a b c (Å): 4.6328 4.6328 4.6328
angles (deg): 90.00 90.00 90.00
Last column: nearest neighbours and their distance in Å.
Positions (direct):
Ti 0.0000 0.0000 0.5000  2 Na 2.32
Ti 0.0000 0.5000 0.0000  2 Na 2.32
Ti 0.5000 0.0000 0.0000  2 Na 2.32
Ge 0.5000 0.5000 0.5000  12 Ti 3.28
Na 0.0000 0.0000 0.0000  6 Ti 2.32

Properties
- energy above the most stable polymorph in this dataset (meV/atom) = 866
- total moment (μB/cell) = 0.93

***

Record 8
The following is a DFT calculation (PBE) of a relaxed structure of NaTiGe2.

a b c (Å): 4.8343 4.8343 9.2660
angles (deg): 74.88 74.88 90.00
Last column: nearest neighbours and their distance in Å.
Positions (direct):
Ge 0.3750 0.2553 0.7500  2 Ti 2.55, 2 Ge 2.73
Ge 0.0053 0.6250 0.2500  2 Ti 2.55, 2 Ge 2.73
Ge 0.8750 0.9947 0.7500  2 Ti 2.55, 2 Ge 2.73
Ge 0.7447 0.1250 0.2500  2 Ti 2.55, 2 Ge 2.73
Na 0.2500 0.7500 0.5000  4 Ge 3.05
Na 0.5000 0.5000 0.0000  4 Ge 3.05
Ti 0.7500 0.2500 0.5000  4 Ge 2.55
Ti 0.0000 0.0000 0.0000  4 Ge 2.55

Properties
- energy above the most stable polymorph in this dataset (meV/atom) = 367
- total moment (μB/cell) = 1.21

***

Record 9
The following is a DFT calculation (PBE) of a relaxed structure of Na8Tl2Ge.

a b c (Å): 5.4864 6.2464 9.5483
angles (deg): 87.95 106.70 90.00
Last column: nearest neighbours and their distance in Å.
Positions (direct):
Na 0.0428 0.7679 0.0856  2 Ge 3.19, 2 Na 3.24-3.33, 1 Tl 3.55
Na 0.3348 0.1233 0.6695  1 Ge 3.09, 4 Na 3.27-3.33, 2 Tl 3.35
Na 0.5846 0.4181 0.1692  1 Ge 3.09, 4 Na 3.22-3.35, 1 Tl 3.34
Na 0.9572 0.2321 0.9144  2 Ge 3.19, 2 Na 3.24-3.33, 1 Tl 3.55
Na 0.1538 0.1795 0.3076  1 Tl 3.24, 7 Na 3.32-3.60
Na 0.8462 0.8205 0.6924  1 Tl 3.24, 7 Na 3.32-3.60
Na 0.4154 0.5819 0.8308  1 Ge 3.09, 4 Na 3.22-3.35, 1 Tl 3.34
Na 0.6652 0.8767 0.3305  1 Ge 3.09, 4 Na 3.27-3.33, 2 Tl 3.35
Ge 0.5000 0.0000 0.0000  8 Na 3.09-3.19
Tl 0.2332 0.6345 0.4665  5 Na 3.24-3.55, 2 Tl 3.26
Tl 0.7668 0.3654 0.5335  5 Na 3.24-3.55, 2 Tl 3.26

Properties
- energy above the most stable polymorph in this dataset (meV/atom) = 0
- total moment (μB/cell) = 0.00

***

Record 10
The following is a DFT calculation (PBE) of a relaxed structure of NaTl2Ge.

a b c (Å): 4.6478 4.7070 4.7070
angles (deg): 90.00 90.00 90.00
Last column: nearest neighbours and their distance in Å.
Positions (direct):
Na 0.5000 0.5000 0.5000  8 Tl 3.31, 4 Ge 3.33
Tl 0.0000 0.0000 0.5000  4 Na 3.31, 4 Ge 3.31, 4 Tl 3.33
Tl 0.0000 0.5000 0.0000  4 Ge 3.31, 4 Na 3.31, 4 Tl 3.33
Ge 0.5000 0.0000 0.0000  8 Tl 3.31, 4 Na 3.33

Properties
- total moment (μB/cell) = 0.00
- raw total energy (eV/atom) = -2.60

***

Record 11
The following is a DFT calculation (PBE) of a relaxed structure of Na4TlGe.

a b c (Å): 5.1130 5.8356 12.6933
angles (deg): 84.51 77.38 64.02
Last column: nearest neighbours and their distance in Å.
Positions (direct):
Na 0.4732 0.3228 0.7314  6 Na 3.16-3.49, 2 Ge 3.22-3.33, 2 Tl 3.49-3.53
Na 0.7960 0.6772 0.7314  6 Na 3.16-3.49, 2 Ge 3.22-3.33, 2 Tl 3.49-3.53
Na 0.3437 0.3125 0.0000  5 Na 3.23-3.33, 4 Tl 3.42-3.46
Na 0.2040 0.3228 0.2686  6 Na 3.16-3.49, 2 Ge 3.22-3.33, 2 Tl 3.49-3.53
Na 0.7906 0.0000 0.4023  4 Ge 3.10-3.22, 1 Tl 3.37, 1 Na 3.43
Na 0.2094 0.0000 0.5977  4 Ge 3.10-3.22, 1 Tl 3.37, 1 Na 3.43
Na 0.5268 0.6772 0.2686  6 Na 3.16-3.49, 2 Ge 3.22-3.33, 2 Tl 3.49-3.53
Na 0.6563 0.6875 0.0000  5 Na 3.23-3.33, 4 Tl 3.42-3.46
Tl 0.0648 0.0000 0.8698  1 Tl 3.23, 9 Na 3.37-3.53
Tl 0.9352 0.0000 0.1302  1 Tl 3.23, 9 Na 3.37-3.53
Ge 0.2397 0.5205 0.5000  2 Ge 2.57
Ge 0.7603 0.4795 0.5000  2 Ge 2.57

Properties
- energy above the most stable polymorph in this dataset (meV/atom) = 0
- total moment (μB/cell) = 0.00

***

Record 12
The following is a DFT calculation (PBE) of a relaxed structure of Na3TlGe.

a b c (Å): 5.6008 5.6008 5.6008
angles (deg): 90.00 90.00 90.00
Last column: nearest neighbours and their distance in Å.
Positions (direct):
Ge 0.0000 0.0000 0.0000  6 Na 2.80
Na 0.0000 0.0000 0.5000  2 Ge 2.80
Na 0.0000 0.5000 0.0000  2 Ge 2.80
Na 0.5000 0.0000 0.0000  2 Ge 2.80
Tl 0.5000 0.5000 0.5000  12 Na 3.96

Properties
- energy above the most stable polymorph in this dataset (meV/atom) = 234
- total moment (μB/cell) = 0.00